! NdDy2Si2Pt7 | Alexandria | PBE | relaxed; values from VASP
! final energy = -6.65 eV per atom
&SYSTEM
  ibrav = 0, nat = 12, ntyp = 4
/
ATOMIC_SPECIES
Nd 144.24 Nd.upf
Dy 162.50 Dy.upf
Si 28.09 Si.upf
Pt 195.08 Pt.upf
CELL_PARAMETERS angstrom
2.8974 -2.8631 0.0000
2.8974 2.8631 0.0000
-2.1239 0.0000 13.6987
ATOMIC_POSITIONS crystal
Nd 0.0000 0.0000 0.0000
Dy 0.1172 0.1172 0.3590
Dy 0.8828 0.8828 0.6410
Si 0.4020 0.4020 0.7396
Si 0.5980 0.5980 0.2604
Pt 0.0639 0.5631 0.1675
Pt 0.3663 0.3663 0.5706
Pt 0.4369 0.9361 0.8325
Pt 0.5000 0.5000 0.0000
Pt 0.5631 0.0639 0.1675
Pt 0.6337 0.6337 0.4294
Pt 0.9361 0.4369 0.8325


! NdDySnPt | Alexandria | PBE | relaxed; values from VASP
! E_form = -0.803 eV/atom
! final energy = -5.66 eV per atom
&SYSTEM
  ibrav = 0, nat = 16, ntyp = 4
/
ATOMIC_SPECIES
Nd 144.24 Nd.upf
Dy 162.50 Dy.upf
Sn 118.71 Sn.upf
Pt 195.08 Pt.upf
CELL_PARAMETERS angstrom
7.4024 0.0000 0.0000
0.0000 7.4024 0.0000
0.0000 0.0000 7.4024
ATOMIC_POSITIONS crystal
Nd 0.0000 0.0000 0.0000
Nd 0.0000 0.5000 0.5000
Nd 0.5000 0.0000 0.5000
Nd 0.5000 0.5000 0.0000
Dy 0.0000 0.0000 0.5000
Dy 0.0000 0.5000 0.0000
Dy 0.5000 0.0000 0.0000
Dy 0.5000 0.5000 0.5000
Sn 0.2500 0.2500 0.2500
Sn 0.2500 0.7500 0.7500
Sn 0.7500 0.2500 0.7500
Sn 0.7500 0.7500 0.2500
Pt 0.2500 0.2500 0.7500
Pt 0.2500 0.7500 0.2500
Pt 0.7500 0.2500 0.2500
Pt 0.7500 0.7500 0.7500


! NdDyZnPt | Alexandria | PBE | relaxed; values from VASP
! relative energy among the computed polymorphs = 45 meV per atom
! E_form = -0.719 eV/atom
! final energy = -4.89 eV per atom
&SYSTEM
  ibrav = 0, nat = 16, ntyp = 4
/
ATOMIC_SPECIES
Nd 144.24 Nd.upf
Dy 162.50 Dy.upf
Zn 65.41 Zn.upf
Pt 195.08 Pt.upf
CELL_PARAMETERS angstrom
7.1718 0.0000 0.0000
0.0000 7.1718 0.0000
0.0000 0.0000 7.1718
ATOMIC_POSITIONS crystal
Nd 0.0000 0.0000 0.0000
Nd 0.0000 0.5000 0.5000
Nd 0.5000 0.0000 0.5000
Nd 0.5000 0.5000 0.0000
Dy 0.0000 0.0000 0.5000
Dy 0.0000 0.5000 0.0000
Dy 0.5000 0.0000 0.0000
Dy 0.5000 0.5000 0.5000
Zn 0.2500 0.2500 0.7500
Zn 0.2500 0.7500 0.2500
Zn 0.7500 0.2500 0.2500
Zn 0.7500 0.7500 0.7500
Pt 0.2500 0.2500 0.2500
Pt 0.2500 0.7500 0.7500
Pt 0.7500 0.2500 0.7500
Pt 0.7500 0.7500 0.2500


! NdDyZnPt | Alexandria | PBE | relaxed; values from VASP
! relative energy among the computed polymorphs = 0 meV per atom
! E_form = -0.764 eV/atom
! final energy = -4.93 eV per atom
&SYSTEM
  ibrav = 0, nat = 8, ntyp = 4
/
ATOMIC_SPECIES
Nd 144.24 Nd.upf
Dy 162.50 Dy.upf
Zn 65.41 Zn.upf
Pt 195.08 Pt.upf
CELL_PARAMETERS angstrom
4.4631 0.0000 0.0000
0.0000 3.9095 0.0000
0.0000 0.0000 10.9590
ATOMIC_POSITIONS crystal
Nd 0.0000 0.0000 0.0000
Nd 0.0000 0.5000 0.5000
Dy 0.5000 0.0000 0.7188
Dy 0.5000 0.5000 0.2188
Zn 0.5000 0.0000 0.4302
Zn 0.5000 0.5000 0.9302
Pt 0.0000 0.0000 0.2814
Pt 0.0000 0.5000 0.7814


What did the first record say?
! NdDy2Si2Pt7 | Alexandria | PBE | relaxed; values from VASP
! final energy = -6.65 eV per atom
&SYSTEM
  ibrav = 0, nat = 12, ntyp = 4
/
ATOMIC_SPECIES
Nd 144.24 Nd.upf
Dy 162.50 Dy.upf
Si 28.09 Si.upf
Pt 195.08 Pt.upf
CELL_PARAMETERS angstrom
2.8974 -2.8631 0.0000
2.8974 2.8631 0.0000
-2.1239 0.0000 13.6987
ATOMIC_POSITIONS crystal
Nd 0.0000 0.0000 0.0000
Dy 0.1172 0.1172 0.3590
Dy 0.8828 0.8828 0.6410
Si 0.4020 0.4020 0.7396
Si 0.5980 0.5980 0.2604
Pt 0.0639 0.5631 0.1675
Pt 0.3663 0.3663 0.5706
Pt 0.4369 0.9361 0.8325
Pt 0.5000 0.5000 0.0000
Pt 0.5631 0.0639 0.1675
Pt 0.6337 0.6337 0.4294
Pt 0.9361 0.4369 0.8325


Q: Which value of final energy does entry 4 give?
A: -4.93 eV per atom


What did the third record say?
! NdDyZnPt | Alexandria | PBE | relaxed; values from VASP
! relative energy among the computed polymorphs = 45 meV per atom
! E_form = -0.719 eV/atom
! final energy = -4.89 eV per atom
&SYSTEM
  ibrav = 0, nat = 16, ntyp = 4
/
ATOMIC_SPECIES
Nd 144.24 Nd.upf
Dy 162.50 Dy.upf
Zn 65.41 Zn.upf
Pt 195.08 Pt.upf
CELL_PARAMETERS angstrom
7.1718 0.0000 0.0000
0.0000 7.1718 0.0000
0.0000 0.0000 7.1718
ATOMIC_POSITIONS crystal
Nd 0.0000 0.0000 0.0000
Nd 0.0000 0.5000 0.5000
Nd 0.5000 0.0000 0.5000
Nd 0.5000 0.5000 0.0000
Dy 0.0000 0.0000 0.5000
Dy 0.0000 0.5000 0.0000
Dy 0.5000 0.0000 0.0000
Dy 0.5000 0.5000 0.5000
Zn 0.2500 0.2500 0.7500
Zn 0.2500 0.7500 0.2500
Zn 0.7500 0.2500 0.2500
Zn 0.7500 0.7500 0.7500
Pt 0.2500 0.2500 0.2500
Pt 0.2500 0.7500 0.7500
Pt 0.7500 0.2500 0.7500
Pt 0.7500 0.7500 0.2500


Q: Which value of final energy does entry 1 give?
A: -6.65 eV per atom